Compound: TbSm9Mg2
Source: Alexandria via LeMat-Bulk
Functional: PBE-GGA
Structure: relaxed

Geometry as extended XYZ:
```
12
Lattice="5.021 0.000 0.000 0.000 5.021 0.000 0.000 0.000 15.132" Properties=species:S:1:pos:R:3 pbc="T T T"
Sm 2.510 2.510 10.043
Sm 0.000 2.510 12.558
Sm 0.000 2.510 2.574
Sm 2.510 2.510 0.000
Sm 2.510 0.000 7.566
Sm 2.510 0.000 2.574
Sm 0.000 2.510 7.566
Sm 2.510 2.510 5.088
Sm 2.510 0.000 12.558
Mg 0.000 0.000 5.102
Mg 0.000 0.000 10.029
Tb 0.000 0.000 0.000
```

Properties
ΔH_f (0 K), eV/atom: 0.011


Compound: NaMgBe
Source: Alexandria via LeMat-Bulk
Functional: PBE-GGA
Structure: relaxed

Geometry as extended XYZ:
```
6
Lattice="3.820 0.017 0.027 -1.894 3.285 0.005 -1.798 -1.057 11.112" Properties=species:S:1:pos:R:3 pbc="T T T"
Be -0.577 -0.665 7.895
Be 1.338 0.441 7.921
Mg -0.558 1.536 6.456
Mg -0.575 1.523 9.375
Na 1.322 2.625 3.854
Na -0.658 1.484 0.885
```

Properties
ΔH_f (0 K), eV/atom: 0.233
Offset from the most stable computed form, meV per atom: 0